Entry 1:
Material: Pm2GeAu6
Method: DFT, PBE-GGA
State: relaxed

Summary:
Offset from the most stable computed form   0.0 meV per atom
D(E_F)   0.245 states/eV/atom

a = 11.1315 Å, b = 6.4601 Å, c = 5.3874 Å
α = 90.00°, β = 90.21°, γ = 90.00°
Last column: nearest neighbours and their distance in Å.
Space group C2/m (No. 12)
Inequivalent atoms, fractional coordinates:
Pm 0.1675 0.0000 0.3166  12 Au 3.13-3.31
Ge 0.0000 0.5000 0.5000  6 Au 2.64
Au 0.0918 0.2231 0.8082  1 Ge 2.64, 4 Au 2.88-2.91
Au 0.1832 0.5000 0.1907  1 Ge 2.64, 4 Au 2.89-2.91

Entry 2:
Material: PmGe2Au2
Method: DFT, PBE-GGA
State: relaxed

Summary:
Offset from the most stable computed form   0.0 meV per atom
D(E_F)   0.323 states/eV/atom

a = 4.4439 Å, b = 4.4439 Å, c = 10.6478 Å
α = 90.00°, β = 90.00°, γ = 90.00°
Last column: nearest neighbours and their distance in Å.
Space group P4/nmm (No. 129, origin choice 2)
Inequivalent atoms, fractional coordinates:
Pm 0.2500 0.2500 0.2427  8 Ge 3.35-3.53, 8 Au 3.41
Ge 0.2500 0.2500 0.8671  5 Au 2.49-2.63
Ge 0.2500 0.7500 0.5000  4 Au 2.64
Au 0.2500 0.2500 0.6336  5 Ge 2.49-2.64
Au 0.2500 0.7500 0.0000  4 Ge 2.63

Entry 3:
Material: Pm2Ge3Au9
Method: DFT, PBE-GGA
State: relaxed

Summary:
D(E_F)   0.391 states/eV/atom
Calculated total energy   -4.162 eV/atom

a = 14.1423 Å, b = 8.1801 Å, c = 10.8647 Å
α = 90.00°, β = 116.49°, γ = 90.00°
Last column: nearest neighbours and their distance in Å.
Space group C2/c (No. 15)
Inequivalent atoms, fractional coordinates:
Pm 0.1629 0.0835 0.2445  11 Au 3.10-3.32, 1 Ge 3.45
Ge 0.0842 0.2170 0.4893  6 Au 2.61-2.88
Ge 0.2500 0.2500 0.0000  8 Au 2.71-2.85
Au 0.0000 0.3683 0.2500  2 Ge 2.64, 2 Au 2.89
Au 0.0584 0.0945 0.9084  3 Ge 2.67-2.88, 1 Au 2.89
Au 0.1164 0.3149 0.7331  2 Ge 2.61-2.72, 2 Au 2.84-2.89
Au 0.1162 0.4058 0.0778  2 Ge 2.71-3.02, 3 Au 2.84-3.03
Au 0.2235 0.4141 0.4218  3 Ge 2.67-2.88, 2 Au 2.89-2.94

Entry 4:
Material: Pm3Ge2Au
Method: DFT, PBE-GGA
State: relaxed

Summary:
D(E_F)   1.228 states/eV/atom
Calculated total energy   -5.147 eV/atom

a = 8.0690 Å, b = 8.0690 Å, c = 17.7513 Å
α = 90.00°, β = 90.00°, γ = 120.00°
Last column: nearest neighbours and their distance in Å.
Space group R-3c (No. 167, hexagonal axes)
Inequivalent atoms, fractional coordinates:
Pm 0.0000 0.3027 0.2500  4 Ge 3.04-3.05, 2 Au 3.19
Ge 0.0000 0.0000 0.1481  1 Au 2.63
Au 0.0000 0.0000 0.0000  2 Ge 2.63

Entry 5:
Material: Pm4Ge2Au5
Method: DFT, PBE-GGA
State: relaxed

Summary:
D(E_F)   0.669 states/eV/atom
Calculated total energy   -4.799 eV/atom

a = 7.3676 Å, b = 4.1108 Å, c = 8.5858 Å
α = 90.00°, β = 91.66°, γ = 90.00°
Last column: nearest neighbours and their distance in Å.
Space group P2/m (No. 10)
Inequivalent atoms, fractional coordinates:
Pm 0.2148 0.0000 0.3662  2 Ge 3.03, 8 Au 3.09-3.37
Pm 0.2502 0.0000 0.9049  6 Au 3.12-3.28, 4 Ge 3.14-3.16
Ge 0.0708 0.5000 0.1340  1 Ge 2.50, 2 Au 2.64-2.73
Au 0.1476 0.5000 0.6277  1 Ge 2.64, 1 Au 2.85
Au 0.4412 0.5000 0.1575  1 Ge 2.73, 2 Au 2.86-2.96
Au 0.5000 0.5000 0.5000  4 Au 2.85-2.96, 4 Pm 3.13

Entry 6:
Material: Pm2Ge4Au3
Method: DFT, PBE-GGA
State: relaxed

Summary:
D(E_F)   0.424 states/eV/atom
Calculated total energy   -4.711 eV/atom

a = 6.0330 Å, b = 15.4820 Å, c = 7.9561 Å
α = 90.00°, β = 90.00°, γ = 90.00°
Last column: nearest neighbours and their distance in Å.
Space group Cmce (No. 64)
Inequivalent atoms, fractional coordinates:
Pm 0.0000 0.1123 0.0837  8 Ge 3.19-3.36, 6 Au 3.28-3.54
Ge 0.0000 0.1791 0.4664  5 Au 2.77-2.79
Ge 0.2500 0.0519 0.7500  3 Au 2.61-2.62
Au 0.0000 0.0000 0.5000  6 Ge 2.62-2.79
Au 0.2500 0.2203 0.7500  5 Ge 2.61-2.79

Entry 7:
Material: Pm2Ge3Au6
Method: DFT, PBE-GGA
State: relaxed

Summary:
D(E_F)   0.447 states/eV/atom
Calculated total energy   -4.387 eV/atom

a = 7.8031 Å, b = 7.8031 Å, c = 4.4327 Å
α = 90.00°, β = 90.00°, γ = 120.00°
Last column: nearest neighbours and their distance in Å.
Space group P-62m (No. 189)
Inequivalent atoms, fractional coordinates:
Pm 0.3333 0.6667 0.0000  9 Au 3.19-3.47, 6 Ge 3.34
Ge 0.0000 0.3627 0.5000  5 Au 2.50-2.67
Au 0.0000 0.2100 0.0000  2 Ge 2.52
Au 0.0000 0.6831 0.5000  3 Ge 2.50-2.67

Entry 8:
Material: Pm2Ge3Au5
Method: DFT, PBE-GGA
State: relaxed

Summary:
Offset from the most stable computed form   0.0 meV per atom
D(E_F)   0.416 states/eV/atom

a = 12.4607 Å, b = 12.4040 Å, c = 6.2064 Å
α = 90.00°, β = 118.27°, γ = 90.00°
Last column: nearest neighbours and their distance in Å.
Space group C2/c (No. 15)
Inequivalent atoms, fractional coordinates:
Pm 0.2385 0.1315 0.2327  9 Au 3.22-3.49, 5 Ge 3.26-3.51
Ge 0.0000 0.4840 0.7500  5 Au 2.58-2.73
Ge 0.1305 0.1293 0.6407  5 Au 2.47-2.69
Au 0.0000 0.0034 0.2500  4 Ge 2.62-2.69
Au 0.0000 0.2416 0.2500  2 Ge 2.59, 2 Au 2.80
Au 0.0000 0.2640 0.7500  3 Ge 2.63-2.73, 2 Au 2.88
Au 0.1463 0.3926 0.1767  3 Ge 2.47-2.66